[1]
A plane-wave DFT calculation with GGA-PBE was carried out for a geometry-optimized Li4Er3ScTe8 structure.

Summary:
Total magnetic moment in μB/cell: 0.0
VASP energy in Ry per atom: -0.3345

a b c (Å): 8.5559 8.5559 21.0948
angles (deg): 90.00 90.00 120.00
With the nearest neighbours (Å) after each atom.
Space group R-3m (No. 166, hexagonal axes)
Asymmetric unit:
Li: 0.0000 0.0000 0.0000 (multiplicity 3)  6 Te 3.08
Li: 0.0000 0.5000 0.0000 (multiplicity 9)  6 Te 3.01
Er: 0.0000 0.5000 0.5000 (multiplicity 9)  6 Te 3.05-3.06
Sc: 0.0000 0.0000 0.5000 (multiplicity 3)  6 Te 2.98
Te: 0.0000 0.0000 0.2518 (multiplicity 6)  3 Li 3.01, 3 Er 3.05
Te: 0.0085 0.5042 0.2499 (multiplicity 18)  1 Sc 2.98, 3 Li 3.01-3.08, 2 Er 3.06


[2]
A plane-wave DFT calculation with GGA-PBE was carried out for a geometry-optimized LiErThSc structure.

Summary:
Formation energy from the elements in meV/atom: 191
Total magnetic moment in μB/cell: 0.0
VASP energy in Ry per atom: -0.3576

a b c (Å): 7.5469 7.5469 7.5469
angles (deg): 90.00 90.00 90.00
With the nearest neighbours (Å) after each atom.
Space group F-43m (No. 216)
Asymmetric unit:
Li: 0.0000 0.0000 0.0000 (multiplicity 4)  4 Th 3.27, 4 Er 3.27
Er: 0.2500 0.2500 0.7500 (multiplicity 4)  4 Li 3.27, 4 Sc 3.27
Th: 0.2500 0.2500 0.2500 (multiplicity 4)  4 Sc 3.27, 4 Li 3.27
Sc: 0.0000 0.0000 0.5000 (multiplicity 4)  4 Er 3.27, 4 Th 3.27


[3]
A plane-wave DFT calculation with GGA-PBE was carried out for a geometry-optimized Li2ErSc2Tl2 structure.

Summary:
Formation energy from the elements in meV/atom: -156
Total magnetic moment in μB/cell: 0.0
VASP energy in Ry per atom: -0.2822

a b c (Å): 4.7021 4.7021 25.4118
angles (deg): 90.00 90.00 120.00
With the nearest neighbours (Å) after each atom.
Space group R-3m (No. 166, hexagonal axes)
Asymmetric unit:
Li: 0.0000 0.0000 0.0888 (multiplicity 6)  3 Tl 2.72, 3 Sc 3.03
Er: 0.0000 0.0000 0.5000 (multiplicity 3)  2 Sc 3.32, 6 Tl 3.33, 6 Li 3.36
Sc: 0.0000 0.0000 0.3692 (multiplicity 6)  3 Li 3.03, 4 Tl 3.05-3.21, 3 Sc 3.27, 1 Er 3.32
Tl: 0.0000 0.0000 0.2428 (multiplicity 6)  3 Li 2.72


[4]
A plane-wave DFT calculation with GGA-PBE was carried out for a geometry-optimized LiEr2ScTl4 structure.

Summary:
Formation energy from the elements in meV/atom: -290
Total magnetic moment in μB/cell: 0.0
VASP energy in Ry per atom: -0.2678

a b c (Å): 5.1591 5.1591 25.7590
angles (deg): 90.00 90.00 120.00
With the nearest neighbours (Å) after each atom.
Space group R-3m (No. 166, hexagonal axes)
Asymmetric unit:
Li: 0.0000 0.0000 0.0000 (multiplicity 3)  8 Tl 3.16-3.21
Er: 0.0000 0.0000 0.2528 (multiplicity 6)  8 Tl 3.12-3.30
Sc: 0.0000 0.0000 0.5000 (multiplicity 3)  8 Tl 3.17-3.25
Tl: 0.0000 0.0000 0.1245 (multiplicity 6)  3 Sc 3.17, 4 Er 3.19-3.30, 1 Li 3.21
Tl: 0.0000 0.0000 0.3738 (multiplicity 6)  4 Er 3.12-3.15, 3 Li 3.16, 1 Sc 3.25


[5]
A plane-wave DFT calculation with GGA-PBE was carried out for a geometry-optimized LiErScTl structure.

Summary:
Formation energy from the elements in meV/atom: -171
Total magnetic moment in μB/cell: 0.0
VASP energy in Ry per atom: -0.2914

a b c (Å): 7.2287 7.2287 7.2287
angles (deg): 90.00 90.00 90.00
With the nearest neighbours (Å) after each atom.
Space group F-43m (No. 216)
Asymmetric unit:
Li: 0.0000 0.0000 0.0000 (multiplicity 4)  4 Er 3.13, 4 Sc 3.13
Er: 0.2500 0.2500 0.7500 (multiplicity 4)  4 Tl 3.13, 4 Li 3.13
Sc: 0.2500 0.2500 0.2500 (multiplicity 4)  4 Tl 3.13, 4 Li 3.13
Tl: 0.0000 0.0000 0.5000 (multiplicity 4)  4 Sc 3.13, 4 Er 3.13


[6]
A plane-wave DFT calculation with GGA-PBE was carried out for a geometry-optimized Li2Er2ScTl2 structure.

Summary:
Formation energy from the elements in meV/atom: -146
Total magnetic moment in μB/cell: 0.0
VASP energy in Ry per atom: -0.2629

a b c (Å): 4.7326 4.7326 26.0749
angles (deg): 90.00 90.00 120.00
With the nearest neighbours (Å) after each atom.
Space group R-3m (No. 166, hexagonal axes)
Asymmetric unit:
Li: 0.0000 0.0000 0.1142 (multiplicity 6)  3 Tl 2.76, 3 Sc 3.06
Er: 0.0000 0.0000 0.3747 (multiplicity 6)  3 Tl 3.11, 1 Sc 3.27, 3 Li 3.33, 3 Er 3.48
Sc: 0.0000 0.0000 0.5000 (multiplicity 3)  6 Li 3.06, 6 Tl 3.26, 2 Er 3.27
Tl: 0.0000 0.0000 0.2347 (multiplicity 6)  3 Li 2.76


[7]
A plane-wave DFT calculation with GGA-PBE was carried out for a geometry-optimized LiErSc2Tl4 structure.

Summary:
Formation energy from the elements in meV/atom: -268
Total magnetic moment in μB/cell: 0.0
VASP energy in Ry per atom: -0.2825

a b c (Å): 5.0872 5.0872 25.5360
angles (deg): 90.00 90.00 120.00
With the nearest neighbours (Å) after each atom.
Space group R-3m (No. 166, hexagonal axes)
Asymmetric unit:
Li: 0.0000 0.0000 0.0000 (multiplicity 3)  8 Tl 3.09-3.10
Er: 0.0000 0.0000 0.5000 (multiplicity 3)  8 Tl 3.16-3.28
Sc: 0.0000 0.0000 0.2528 (multiplicity 6)  8 Tl 3.03-3.37
Tl: 0.0000 0.0000 0.1210 (multiplicity 6)  1 Li 3.09, 4 Sc 3.11-3.37, 3 Er 3.16
Tl: 0.0000 0.0000 0.3717 (multiplicity 6)  4 Sc 3.03-3.13, 3 Li 3.10, 1 Er 3.28


[8]
A plane-wave DFT calculation with GGA-PBE was carried out for a geometry-optimized LiErTmSc structure.

Summary:
Formation energy from the elements in meV/atom: 162
Total magnetic moment in μB/cell: 0.0
VASP energy in Ry per atom: -0.3056

a b c (Å): 7.4721 7.4721 7.4721
angles (deg): 90.00 90.00 90.00
With the nearest neighbours (Å) after each atom.
Space group F-43m (No. 216)
Asymmetric unit:
Li: 0.0000 0.0000 0.0000 (multiplicity 4)  4 Er 3.24, 4 Tm 3.24
Er: 0.2500 0.2500 0.7500 (multiplicity 4)  4 Li 3.24, 4 Sc 3.24
Tm: 0.2500 0.2500 0.2500 (multiplicity 4)  4 Li 3.24, 4 Sc 3.24
Sc: 0.0000 0.0000 0.5000 (multiplicity 4)  4 Er 3.24, 4 Tm 3.24